Arrangement A

An optimized crystal structure of Tb3RhPb2, computed with PBE.

a b c (Å): 7.676 7.676 7.681
angles (deg): 104.43 104.43 47.97
Positions (direct):
Tb1 0.189 0.811 0.750
Tb2 0.249 0.436 0.375
Tb3 0.436 0.249 0.875
Tb4 0.564 0.751 0.125
Tb5 0.751 0.564 0.625
Tb6 0.811 0.189 0.250
Rh1 0.350 0.650 0.250
Rh2 0.650 0.350 0.750
Pb1 0.048 0.261 0.018
Pb2 0.261 0.048 0.518
Pb3 0.739 0.952 0.482
Pb4 0.952 0.739 0.982

Summary:
Its total magnetic moment is 0.0 μB/cell.

Arrangement B

An optimized crystal structure of Tb3RhPb2, computed with PBE.

a b c (Å): 12.610 4.406 11.815
angles (deg): 90.00 90.00 90.00
Positions (direct):
Tb1 0.053 0.250 0.132
Tb2 0.121 0.750 0.541
Tb3 0.246 0.250 0.788
Tb4 0.254 0.750 0.288
Tb5 0.379 0.250 0.041
Tb6 0.447 0.750 0.632
Tb7 0.553 0.250 0.368
Tb8 0.621 0.750 0.959
Tb9 0.746 0.250 0.712
Tb10 0.754 0.750 0.212
Tb11 0.879 0.250 0.459
Tb12 0.947 0.750 0.868
Rh1 0.127 0.250 0.368
Rh2 0.373 0.750 0.868
Rh3 0.627 0.250 0.132
Rh4 0.873 0.750 0.632
Pb1 0.010 0.250 0.693
Pb2 0.184 0.750 0.999
Pb3 0.316 0.250 0.499
Pb4 0.490 0.750 0.193
Pb5 0.510 0.250 0.807
Pb6 0.684 0.750 0.501
Pb7 0.816 0.250 0.001
Pb8 0.990 0.750 0.307

Summary:
Its total magnetic moment is 0.0 μB/cell.

Bottom line: arrangement B, by a margin of 122 meV/atom.

Arrangement A

An optimized crystal structure of Tb2RhPb, computed with PBE.

a b c (Å): 8.877 8.877 8.877
angles (deg): 24.91 24.91 24.91
Positions (direct):
Tb1 0.231 0.231 0.231
Tb2 0.769 0.769 0.769
Rh1 0.500 0.500 0.500
Pb1 0.000 0.000 0.000

Summary:
Its total magnetic moment is 0.0 μB/cell.

Arrangement B

An optimized crystal structure of Tb2RhPb, computed with PBE.

a b c (Å): 4.238 4.238 7.033
angles (deg): 90.00 90.00 120.00
Positions (direct):
Tb1 0.333 0.667 0.198
Tb2 0.667 0.333 0.802
Rh1 0.000 0.000 0.000
Pb1 0.000 0.000 0.500

Summary:
Its total magnetic moment is 0.0 μB/cell.

Arrangement C

An optimized crystal structure of Tb2RhPb, computed with PBE.

a b c (Å): 5.169 5.169 5.169
angles (deg): 60.00 60.00 60.00
Positions (direct):
Tb1 0.250 0.250 0.250
Tb2 0.750 0.750 0.750
Rh1 0.000 0.000 0.000
Pb1 0.500 0.500 0.500

Summary:
Its total magnetic moment is 0.0 μB/cell.

Arrangement D

An optimized crystal structure of Tb2RhPb, computed with PBE.

a b c (Å): 4.935 4.935 3.968
angles (deg): 90.00 90.00 90.00
Positions (direct):
Tb1 0.000 0.500 0.000
Tb2 0.500 0.000 0.000
Rh1 0.000 0.000 0.500
Pb1 0.500 0.500 0.500

Summary:
Its total magnetic moment is 0.0 μB/cell.

Bottom line: arrangement A, by a margin of 34 meV/atom.

Arrangement A

An optimized crystal structure of TbTmRhPb, computed with PBE.

a b c (Å): 3.473 3.473 7.981
angles (deg): 90.00 90.00 90.00
Positions (direct):
Tb1 0.000 0.000 0.000
Tm1 0.000 0.000 0.586
Rh1 0.500 0.500 0.785
Pb1 0.500 0.500 0.297

Summary:
Its total magnetic moment is 0.0 μB/cell.

Arrangement B

An optimized crystal structure of TbTmRhPb, computed with PBE.

a b c (Å): 5.125 5.125 5.125
angles (deg): 60.00 60.00 60.00
Positions (direct):
Tb1 0.000 0.000 0.000
Tm1 0.500 0.500 0.500
Rh1 0.750 0.750 0.750
Pb1 0.250 0.250 0.250

Summary:
Its total magnetic moment is 0.0 μB/cell.

Bottom line: arrangement A, by a margin of 173 meV/atom.

Arrangement A

An optimized crystal structure of TeRh2Pb2, computed with PBE.

a b c (Å): 6.862 6.862 6.862
angles (deg): 142.97 142.97 53.38
Positions (direct):
Te1 0.000 0.000 0.000
Rh1 0.393 0.393 0.000
Rh2 0.607 0.607 0.000
Pb1 0.250 0.750 0.500
Pb2 0.750 0.250 0.500

Summary:
Its total magnetic moment is 0.0 μB/cell.

Arrangement B

An optimized crystal structure of TeRh2Pb2, computed with PBE.

a b c (Å): 7.516 7.516 3.838
angles (deg): 90.00 90.00 90.00
Positions (direct):
Te1 0.000 0.000 0.000
Te2 0.500 0.500 0.000
Rh1 0.148 0.352 0.000
Rh2 0.352 0.852 0.000
Rh3 0.648 0.148 0.000
Rh4 0.852 0.648 0.000
Pb1 0.153 0.653 0.500
Pb2 0.347 0.153 0.500
Pb3 0.653 0.847 0.500
Pb4 0.847 0.347 0.500

Summary:
Its total magnetic moment is 0.0 μB/cell.

Bottom line: arrangement B, by a margin of 281 meV/atom.

Arrangement A

An optimized crystal structure of Te2Rh2Pb, computed with PBE.

a b c (Å): 5.906 5.906 5.906
angles (deg): 130.23 130.23 73.04
Positions (direct):
Te1 0.250 0.750 0.500
Te2 0.750 0.250 0.500
Rh1 0.143 0.143 0.000
Rh2 0.857 0.857 0.000
Pb1 0.500 0.500 0.000

Summary:
Its total magnetic moment is 0.0 μB/cell.

Arrangement B

An optimized crystal structure of Te2Rh2Pb, computed with PBE.

a b c (Å): 7.938 7.938 7.938
angles (deg): 150.43 150.43 42.32
Positions (direct):
Te1 0.136 0.136 0.000
Te2 0.864 0.864 0.000
Rh1 0.250 0.750 0.500
Rh2 0.750 0.250 0.500
Pb1 0.500 0.500 0.000

Summary:
Its total magnetic moment is 0.0 μB/cell.

Bottom line: arrangement B, by a margin of 110 meV/atom.

Arrangement A

An optimized crystal structure of TeRhPb, computed with PBE.

a b c (Å): 4.699 4.699 4.699
angles (deg): 60.00 60.00 60.00
Positions (direct):
Te1 0.000 0.000 0.000
Rh1 0.750 0.750 0.750
Pb1 0.500 0.500 0.500

Summary:
Its total magnetic moment is 0.0 μB/cell.

Arrangement B

An optimized crystal structure of TeRhPb, computed with PBE.

a b c (Å): 3.679 5.869 6.785
angles (deg): 90.00 90.00 90.00
Positions (direct):
Te1 0.000 0.058 0.000
Te2 0.500 0.942 0.500
Rh1 0.000 0.219 0.633
Rh2 0.500 0.781 0.133
Pb1 0.000 0.463 0.290
Pb2 0.500 0.537 0.790

Summary:
Its total magnetic moment is 0.0 μB/cell.

Bottom line: arrangement B, by a margin of 128 meV/atom.

Arrangement A

An optimized crystal structure of TeRhPb, computed with PBE.

a b c (Å): 3.891 3.891 5.740
angles (deg): 90.00 90.00 120.00
Positions (direct):
Te1 0.000 0.000 0.000
Rh1 0.333 0.667 0.772
Pb1 0.667 0.333 0.462

Summary:
Its total magnetic moment is 0.0 μB/cell.

Arrangement B

An optimized crystal structure of TeRhPb, computed with PBE.

a b c (Å): 6.925 6.774 6.956
angles (deg): 90.00 116.60 90.00
Positions (direct):
Te1 0.156 0.133 0.328
Te2 0.156 0.367 0.828
Te3 0.844 0.633 0.172
Te4 0.844 0.867 0.672
Rh1 0.210 0.010 0.706
Rh2 0.210 0.490 0.206
Rh3 0.790 0.510 0.794
Rh4 0.790 0.990 0.294
Pb1 0.358 0.653 0.622
Pb2 0.358 0.847 0.122
Pb3 0.642 0.153 0.878
Pb4 0.642 0.347 0.378

Summary:
Its total magnetic moment is 0.0 μB/cell.

Bottom line: arrangement B, by a margin of 183 meV/atom.

Arrangement A

An optimized crystal structure of Te2RhPb2, computed with PBE.

a b c (Å): 7.175 7.175 5.509
angles (deg): 90.00 90.00 90.00
Positions (direct):
Te1 0.168 0.332 0.000
Te2 0.332 0.832 0.000
Te3 0.668 0.168 0.000
Te4 0.832 0.668 0.000
Rh1 0.000 0.000 0.000
Rh2 0.500 0.500 0.000
Pb1 0.173 0.673 0.500
Pb2 0.327 0.173 0.500
Pb3 0.673 0.827 0.500
Pb4 0.827 0.327 0.500

Summary:
Its total magnetic moment is 0.0 μB/cell.

Arrangement B

An optimized crystal structure of Te2RhPb2, computed with PBE.

a b c (Å): 4.642 4.665 13.385
angles (deg): 99.51 98.67 90.00
Positions (direct):
Te1 0.072 0.314 0.139
Te2 0.309 0.073 0.637
Te3 0.691 0.927 0.363
Te4 0.928 0.686 0.861
Rh1 0.144 0.866 0.249
Rh2 0.856 0.134 0.751
Pb1 0.204 0.436 0.393
Pb2 0.427 0.200 0.893
Pb3 0.573 0.800 0.107
Pb4 0.796 0.564 0.607

Summary:
Its total magnetic moment is 0.0 μB/cell.

Bottom line: arrangement B, by a margin of 266 meV/atom.